Entry from the Alexandria database: crystalline Sr2InCoO5 at its relaxed geometry (GGA+U).

## Properties
DFT total energy ... -214.2 eV/cell
Total magnetization ... 15.80 Bohr magnetons per cell
Crystal system ... orthorhombic

Lattice parameters (Å, degrees): 3.4153 13.9274 10.7265 90.00 90.00 90.00
Space group Cmc2_1 (No. 36)
One atom of each set of equivalent atoms:
Sr 0.0000 0.1046 0.0000
Sr 0.0000 0.1456 0.6394
In 0.0000 0.2074 0.3481
Co 0.0000 0.4684 0.7668
O 0.0000 0.0456 0.3539
O 0.0000 0.2840 0.9845
O 0.0000 0.3242 0.7160
O 0.0000 0.3643 0.3239
O 0.0000 0.4927 0.1095